## ZrInSe2 (PBE)

Data for a geometry-optimized ZrInSe2 structure. Values from VASP.

## Properties
Energy relative to the elements, uncorrected (eV per atom): -0.7568
Magnetization (μB/cell): 0.00
Total energy (eV per atom): -5.32

The structure in Quantum ESPRESSO input format:
```
&SYSTEM
  ibrav = 0, nat = 8, ntyp = 3
/
ATOMIC_SPECIES
In 114.82 In.upf
Se 78.96 Se.upf
Zr 91.22 Zr.upf
CELL_PARAMETERS angstrom
-2.203 4.125 -6.381
3.562 0.914 -4.394
-0.388 -5.713 0.196
ATOMIC_POSITIONS crystal
In 0.250 0.205 0.705
In 0.750 0.795 0.295
Se 0.780 0.857 0.797
Se 0.220 0.143 0.203
Se 0.280 0.703 0.643
Se 0.720 0.297 0.357
Zr 0.250 0.620 0.120
Zr 0.750 0.380 0.880
```

***

## ZrNb3Hg (PBE)

Data for a geometry-optimized ZrNb3Hg structure. Values from VASP.

## Properties
Magnetization (μB/cell): 0.00
Total energy (eV per atom): -6.26
E_form (eV/atom): 1.55

The structure in Quantum ESPRESSO input format:
```
&SYSTEM
  ibrav = 0, nat = 5, ntyp = 3
/
ATOMIC_SPECIES
Nb 92.91 Nb.upf
Zr 91.22 Zr.upf
Hg 200.59 Hg.upf
CELL_PARAMETERS angstrom
4.917 0.000 0.000
0.000 4.917 0.000
0.000 0.000 4.917
ATOMIC_POSITIONS crystal
Nb 0.000 0.000 0.500
Nb 0.500 0.000 0.000
Nb 0.000 0.500 0.000
Zr 0.000 0.000 0.000
Hg 0.500 0.500 0.500
```

***

## Cs2AgH6 (PBE)

Data for a geometry-optimized Cs2AgH6 structure. Values from VASP.

## Properties
Magnetization (μB/cell): 1.90
Total energy (eV per atom): -2.71

The structure in Quantum ESPRESSO input format:
```
&SYSTEM
  ibrav = 0, nat = 18, ntyp = 3
/
ATOMIC_SPECIES
H 1.01 H.upf
Ag 107.87 Ag.upf
Cs 132.91 Cs.upf
CELL_PARAMETERS angstrom
5.479 0.000 0.052
0.000 7.501 0.000
0.100 0.000 10.557
ATOMIC_POSITIONS crystal
H 0.998 0.951 0.332
H 0.498 0.549 0.832
H 0.516 0.268 0.964
H 0.570 0.997 0.499
H 0.484 0.732 0.036
H 0.502 0.451 0.168
H 0.070 0.503 0.999
H 0.002 0.049 0.668
H 0.430 0.003 0.501
H 0.930 0.497 0.001
H 0.984 0.768 0.536
H 0.016 0.232 0.464
Ag 0.500 0.500 0.000
Ag 0.000 0.000 0.500
Cs 0.501 0.057 0.211
Cs 0.999 0.557 0.289
Cs 0.499 0.943 0.789
Cs 0.001 0.443 0.711
```

***

## AgIrCl (PBE)

Data for a geometry-optimized AgIrCl structure. Values from VASP.

## Properties
Energy relative to the elements, uncorrected (eV per atom): 0.5242
Magnetization (μB/cell): 0.00
Total energy (eV per atom): -4.00

The structure in Quantum ESPRESSO input format:
```
&SYSTEM
  ibrav = 0, nat = 3, ntyp = 3
/
ATOMIC_SPECIES
Cl 35.45 Cl.upf
Ir 192.22 Ir.upf
Ag 107.87 Ag.upf
CELL_PARAMETERS angstrom
7.322 0.008 -0.004
6.373 2.852 -0.002
0.950 -1.399 2.477
ATOMIC_POSITIONS crystal
Cl 0.320 0.320 0.680
Ir 0.676 0.676 0.324
Ag 0.004 0.004 0.996
```

***

## Ac8Sm2Dy3 (PBE)

Data for a geometry-optimized Ac8Sm2Dy3 structure. Values from VASP.

## Properties
Magnetization (μB/cell): 0.00
Total energy (eV per atom): -4.26
E_form (eV/atom): 0.06

The structure in Quantum ESPRESSO input format:
```
&SYSTEM
  ibrav = 0, nat = 13, ntyp = 3
/
ATOMIC_SPECIES
Ac 227.00 Ac.upf
Dy 162.50 Dy.upf
Sm 150.36 Sm.upf
CELL_PARAMETERS angstrom
6.417 0.771 1.512
-0.703 7.531 3.963
-1.195 -0.537 10.116
ATOMIC_POSITIONS crystal
Ac 0.920 0.151 0.304
Ac 0.080 0.849 0.696
Ac 0.235 0.539 0.079
Ac 0.765 0.461 0.921
Ac 0.841 0.306 0.614
Ac 0.159 0.694 0.386
Ac 0.693 0.630 0.226
Ac 0.307 0.370 0.774
Dy 0.000 0.000 0.000
Dy 0.538 0.927 0.848
Dy 0.462 0.073 0.152
Sm 0.612 0.778 0.540
Sm 0.388 0.222 0.460
```

***

## BaCo2Ni (PBE)

Data for a geometry-optimized BaCo2Ni structure. Values from VASP.

## Properties
Magnetization (μB/cell): 3.22
Total energy (eV per atom): -5.32
E_form (eV/atom): 0.16

The structure in Quantum ESPRESSO input format:
```
&SYSTEM
  ibrav = 0, nat = 4, ntyp = 3
/
ATOMIC_SPECIES
Co 58.93 Co.upf
Ni 58.69 Ni.upf
Ba 137.33 Ba.upf
CELL_PARAMETERS angstrom
4.111 0.009 0.016
2.047 3.565 0.016
2.037 1.182 5.575
ATOMIC_POSITIONS crystal
Co 0.934 0.934 0.200
Co 0.251 0.251 0.247
Ni 0.566 0.566 0.302
Ba 0.749 0.749 0.751
```

***

## H2OsPt (PBE)

Data for a geometry-optimized H2OsPt structure. Values from VASP.

## Properties
Magnetization (μB/cell): 0.00
Total energy (eV per atom): -5.50

The structure in Quantum ESPRESSO input format:
```
&SYSTEM
  ibrav = 0, nat = 8, ntyp = 3
/
ATOMIC_SPECIES
Os 190.23 Os.upf
H 1.01 H.upf
Pt 195.08 Pt.upf
CELL_PARAMETERS angstrom
4.254 0.000 0.000
0.000 4.254 0.000
2.127 2.127 4.148
ATOMIC_POSITIONS crystal
Os 0.250 0.750 0.500
Os 0.500 0.500 0.000
H 0.616 0.125 0.250
H 0.375 0.384 0.750
H 0.875 0.866 0.750
H 0.134 0.625 0.250
Pt 0.000 0.000 0.000
Pt 0.750 0.250 0.500
```

***

## DyScZnCd (PBE)

Data for a geometry-optimized DyScZnCd structure. Values from VASP.

## Properties
Magnetization (μB/cell): 0.00
Total energy (eV per atom): -3.61
E_form (eV/atom): -0.33

The structure in Quantum ESPRESSO input format:
```
&SYSTEM
  ibrav = 0, nat = 4, ntyp = 4
/
ATOMIC_SPECIES
Dy 162.50 Dy.upf
Cd 112.41 Cd.upf
Sc 44.96 Sc.upf
Zn 65.41 Zn.upf
CELL_PARAMETERS angstrom
-2.504 -2.364 -0.541
2.212 -1.909 -1.901
2.094 -3.604 6.057
ATOMIC_POSITIONS crystal
Dy 0.500 0.500 0.801
Cd 0.000 0.000 0.092
Sc 0.500 0.500 0.343
Zn 0.000 0.000 0.548
```

***

## Ba2CeSb3Pt4 (PBE)

Data for a geometry-optimized Ba2CeSb3Pt4 structure. Values from VASP.

## Properties
Energy relative to the elements, uncorrected (eV per atom): -0.8519
Magnetization (μB/cell): 0.92
Total energy (eV per atom): -5.48

The structure in Quantum ESPRESSO input format:
```
&SYSTEM
  ibrav = 0, nat = 10, ntyp = 4
/
ATOMIC_SPECIES
Ba 137.33 Ba.upf
Pt 195.08 Pt.upf
Sb 121.76 Sb.upf
Ce 140.12 Ce.upf
CELL_PARAMETERS angstrom
4.758 0.000 0.000
0.000 4.758 0.000
0.000 0.000 11.350
ATOMIC_POSITIONS crystal
Ba 0.000 0.500 0.772
Ba 0.500 0.000 0.228
Pt 0.000 0.000 0.000
Pt 0.000 0.500 0.357
Pt 0.500 0.000 0.643
Pt 0.500 0.500 0.000
Sb 0.000 0.500 0.119
Sb 0.500 0.000 0.881
Sb 0.000 0.000 0.500
Ce 0.500 0.500 0.500
```

***

## TaAgH (PBE)

Data for a geometry-optimized TaAgH structure. Values from VASP.

## Properties
Magnetization (μB/cell): 0.00
Total energy (eV per atom): -5.86

The structure in Quantum ESPRESSO input format:
```
&SYSTEM
  ibrav = 0, nat = 6, ntyp = 3
/
ATOMIC_SPECIES
Ag 107.87 Ag.upf
Ta 180.95 Ta.upf
H 1.01 H.upf
CELL_PARAMETERS angstrom
-2.060 -1.848 0.912
-0.011 -2.341 -4.768
3.584 -2.408 3.216
ATOMIC_POSITIONS crystal
Ag 0.750 0.734 0.987
Ag 0.250 0.266 0.013
Ta 0.250 0.735 0.483
Ta 0.750 0.265 0.517
H 0.750 0.970 0.655
H 0.250 0.030 0.345
```

***

## KCu2Os (PBE)

Data for a geometry-optimized KCu2Os structure. Values from VASP.

## Properties
Magnetization (μB/cell): 0.57
Total energy (eV per atom): -3.93
E_form (eV/atom): 1.20

The structure in Quantum ESPRESSO input format:
```
&SYSTEM
  ibrav = 0, nat = 4, ntyp = 3
/
ATOMIC_SPECIES
Cu 63.55 Cu.upf
K 39.10 K.upf
Os 190.23 Os.upf
CELL_PARAMETERS angstrom
-0.808 -1.001 -2.210
-1.022 -4.845 2.568
-4.643 1.516 1.011
ATOMIC_POSITIONS crystal
Cu 0.000 0.000 0.000
Cu 0.500 0.500 0.000
K 0.500 0.000 0.500
Os 0.000 0.500 0.500
```

***

## Na2InAsP (PBE)

Data for a geometry-optimized Na2InAsP structure. Values from VASP.

## Properties
Magnetization (μB/cell): 2.12
Total energy (eV per atom): -2.51
E_form (eV/atom): 0.58

The structure in Quantum ESPRESSO input format:
```
&SYSTEM
  ibrav = 0, nat = 5, ntyp = 4
/
ATOMIC_SPECIES
P 30.97 P.upf
In 114.82 In.upf
As 74.92 As.upf
Na 22.99 Na.upf
CELL_PARAMETERS angstrom
-4.593 3.848 0.691
-0.435 -1.358 4.676
3.873 4.332 1.618
ATOMIC_POSITIONS crystal
P 0.000 0.500 0.000
In 0.000 0.000 0.000
As 0.500 0.500 0.500
Na 0.000 0.000 0.500
Na 0.500 0.000 0.000
```